Crystalline K2AlSnAu6 at its relaxed geometry. Source: Alexandria via LeMat-Bulk, functional PBE-GGA.

Summary:
Its uncorrected energy is -32.4 eV for the cell shown. The calculation puts the formation energy at -0.28 eV per atom.

Lattice parameters (Å, degrees): 7.4236 7.0772 7.0994 56.96 64.60 90.29
Sites, in units of the cell vectors:
Al (0.0000, 0.0000, 0.0000)
Au (0.1899, 0.1824, 0.5164)
Au (0.1506, 0.2443, 0.0960)
Au (0.8494, 0.7557, 0.9040)
Au (0.8118, 0.2954, 0.0085)
Au (0.1882, 0.7046, 0.9915)
Au (0.8101, 0.8176, 0.4836)
Sn (0.5000, 0.5000, 0.0000)
K (0.3282, 0.7461, 0.4185)
K (0.6718, 0.2539, 0.5815)

***

Crystalline PaPt2Au at its relaxed geometry. Source: Alexandria via LeMat-Bulk, functional PBE-GGA.

Summary:
As for the offset from the most stable computed form: 0.000 eV/atom. Its uncorrected energy is -56.2 eV for the cell shown. The calculation puts the formation energy at -0.81 eV per atom.

Lattice parameters (Å, degrees): 5.6817 5.0477 5.3307 89.90 90.76 90.02
Sites, in units of the cell vectors:
Pt (0.4980, 0.7502, 0.1589)
Pt (0.5020, 0.2498, 0.8411)
Pt (0.2366, 0.2506, 0.3435)
Pt (0.7634, 0.7494, 0.6565)
Pa (0.2693, 0.7501, 0.6471)
Pa (0.7307, 0.2499, 0.3529)
Au (0.9944, 0.7502, 0.1493)
Au (0.0056, 0.2498, 0.8507)

***

Crystalline TiCoPt at its relaxed geometry. Source: Alexandria via LeMat-Bulk, functional PBE-GGA.

Summary:
Its uncorrected energy is -20.3 eV for the cell shown. The calculation puts the formation energy at 0.25 eV per atom.

Lattice parameters (Å, degrees): 2.6700 2.6700 6.9298 101.11 101.11 90.00
Sites, in units of the cell vectors:
Co (0.7693, 0.7693, 0.5386)
Ti (0.9460, 0.9460, 0.8919)
Pt (0.1348, 0.1348, 0.2695)

***

no.,DOS at the Fermi energy (states/eV per atom)
1,0.31
2,0.58
3,1.09